VASP calculation (PBE-GGA) on crystalline TcI6O2 at its relaxed geometry.

Cell lengths 9.119, 9.119, 8.801 Å; angles 99.56, 99.56, 98.97 degrees
Fractional coordinates of all 18 atoms:
Tc (0.232, 0.768, 0.500)
Tc (0.768, 0.232, 0.000)
I (0.022, 0.181, 0.125)
I (0.181, 0.022, 0.625)
I (0.249, 0.459, 0.439)
I (0.287, 0.649, 0.769)
I (0.292, 0.833, 0.225)
I (0.459, 0.249, 0.939)
I (0.545, 0.852, 0.519)
I (0.649, 0.287, 0.269)
I (0.674, 0.938, 0.946)
I (0.833, 0.292, 0.725)
I (0.852, 0.545, 0.019)
I (0.938, 0.674, 0.446)
O (0.205, 0.362, 0.202)
O (0.362, 0.205, 0.702)
O (0.679, 0.825, 0.718)
O (0.825, 0.679, 0.218)

Values from the calculation:
ΔE_f (raw) ... 0.07 eV/atom
M_tot ... 1.96 μB per cell
Uncorrected energy ... -57.92 eV for the cell shown
Symmetry ... No. 9
Energy above the lowest structure with this stoichiometry ... 0 meV/atom

=====

VASP calculation (PBE-GGA) on crystalline Ac4PrNd2Sm at its relaxed geometry.

Cell lengths 8.021, 8.021, 8.021 Å; angles 129.56, 124.75, 78.06 degrees
Fractional coordinates of all 8 atoms:
Ac (0.124, 0.000, 0.625)
Ac (0.375, 0.499, 0.375)
Ac (0.625, 0.000, 0.125)
Ac (0.876, 0.501, 0.875)
Pr (0.500, 0.000, 0.500)
Nd (0.249, 0.500, 0.749)
Nd (0.751, 0.500, 0.251)
Sm (0.000, 0.000, 0.000)

Values from the calculation:
ΔE_f ... 113 meV/atom
M_tot ... 0.00 μB per cell
Uncorrected energy ... -34.56 eV for the cell shown
Symmetry ... No. 23

=====

VASP calculation (PBE-GGA) on crystalline Pm3Dy2UN6 at its relaxed geometry.

Cell lengths 6.078, 6.078, 6.134 Å; angles 99.51, 99.51, 119.94 degrees
Fractional coordinates of all 12 atoms:
Pm (0.000, 0.000, 0.000)
Pm (0.332, 0.668, 0.000)
Pm (0.668, 0.332, 0.000)
Dy (0.166, 0.834, 0.500)
Dy (0.834, 0.166, 0.500)
U (0.500, 0.500, 0.500)
N (0.113, 0.425, 0.275)
N (0.264, 0.264, 0.726)
N (0.425, 0.113, 0.275)
N (0.575, 0.887, 0.725)
N (0.736, 0.736, 0.274)
N (0.887, 0.575, 0.725)

Values from the calculation:
ΔE_f (raw) ... -1.57 eV/atom
M_tot ... 0.23 μB per cell
Uncorrected energy ... -103.53 eV for the cell shown
Symmetry ... No. 12